Entry 1:
Below is crystalline Mn2Co2Tc at its relaxed geometry, with properties calculated at the PBE level.

Computed properties:
Size of the total moment: 1.267 μB per formula unit
SG: P4/mbm (127)
Energy relative to the lowest polymorph listed for this composition: 0.00 eV/f.u.
Calculated formation energy: 0.151 eV per atom
Calculated volume: 11.490 A^3/atom
DOS(E_F): 1.252 states/eV/atom

Cell lengths 6.7532, 6.7532, 2.5194 Å; angles 90.00, 90.00, 90.00 degrees
Fractional coordinates of all 10 atoms:
Mn 0.1737 0.6737 0.5000
Mn 0.6737 0.8263 0.5000
Mn 0.8263 0.3263 0.5000
Mn 0.3263 0.1737 0.5000
Co 0.3776 0.8776 0.0000
Co 0.8776 0.6224 0.0000
Co 0.6224 0.1224 0.0000
Co 0.1224 0.3776 0.0000
Tc 0.0000 0.0000 0.0000
Tc 0.5000 0.5000 0.0000

=====

Entry 2:
Below is crystalline Ac3Mg2Pb at its relaxed geometry, with properties calculated at the PBE level.

Computed properties:
Size of the total moment: 0.000 μB per formula unit
SG: P4/mmm (123)
Calculated formation energy: -0.200 eV per atom
Calculated volume: 35.340 A^3/atom
DOS(E_F): 1.209 states/eV/atom

Cell lengths 4.1163, 4.1163, 12.5139 Å; angles 90.00, 90.00, 90.00 degrees
Fractional coordinates of all 6 atoms:
Ac 0.0000 0.0000 0.0000
Ac 0.0000 0.0000 0.6701
Ac 0.0000 0.0000 0.3299
Mg 0.5000 0.5000 0.8406
Mg 0.5000 0.5000 0.1594
Pb 0.5000 0.5000 0.5000

=====

Entry 3:
Below is crystalline NdDy2Er at its relaxed geometry, with properties calculated at the PBE level.

Computed properties:
Size of the total moment: 0.000 μB per formula unit
SG: R3m (160)
Energy relative to the lowest polymorph listed for this composition: 0.00 eV/f.u.
Calculated formation energy: 0.007 eV per atom
Calculated volume: 32.203 A^3/atom
DOS(E_F): 1.583 states/eV/atom

Cell lengths 3.5947, 3.5947, 11.6959 Å; angles 81.16, 81.16, 60.00 degrees
Fractional coordinates of all 4 atoms:
Nd 0.6664 0.6664 0.0008
Dy 0.0851 0.0851 0.7446
Dy 0.2481 0.2481 0.2557
Er 0.5004 0.5004 0.4989

=====

Entry 4:
Below is crystalline Te2MoCl at its relaxed geometry, with properties calculated at the PBE level.

Computed properties:
Size of the total moment: 0.000 μB per formula unit
ΔE_f (raw): -0.166 eV/atom
SG: R-3m (166)
Energy relative to the lowest polymorph listed for this composition: 0.00 eV/f.u.
Calculated volume: 23.521 A^3/atom
DOS(E_F): 0.578 states/eV/atom

Cell lengths 3.5805, 3.5805, 8.7260 Å; angles 78.15, 78.15, 59.97 degrees
Fractional coordinates of all 4 atoms:
Cl 0.7500 0.7500 0.7500
Mo 0.2500 0.2500 0.2500
Te 0.9889 0.9889 0.0337
Te 0.5111 0.5111 0.4663

=====

Entry 5:
Below is crystalline MoPSe2Br at its relaxed geometry, with properties calculated at the PBE level.

Computed properties:
Size of the total moment: 2.676 μB per formula unit
ΔE_f (raw): 0.639 eV/atom
SG: P4/mmm (123)
Energy relative to the lowest polymorph listed for this composition: 0.00 eV/f.u.
Calculated volume: 25.283 A^3/atom
DOS(E_F): 0.921 states/eV/atom

Cell lengths 4.9240, 4.9240, 5.2139 Å; angles 90.00, 90.00, 90.00 degrees
Fractional coordinates of all 5 atoms:
P 0.5000 0.5000 0.5000
Mo 0.0000 0.0000 0.0000
Se 0.0000 0.5000 0.0000
Se 0.5000 0.0000 0.0000
Br 0.0000 0.0000 0.5000

=====

Entry 6:
Below is crystalline Zn2SiBBr at its relaxed geometry, with properties calculated at the PBE level.

Computed properties:
Size of the total moment: 0.000 μB per formula unit
ΔE_f (raw): 0.663 eV/atom
SG: P4/mmm (123)
Calculated volume: 19.475 A^3/atom
DOS(E_F): 0.294 states/eV/atom

Cell lengths 4.0670, 5.8871, 4.0670 Å; angles 90.00, 90.00, 90.00 degrees
Fractional coordinates of all 5 atoms:
Zn 0.0000 0.0000 0.5000
Zn 0.5000 0.0000 0.0000
B 0.0000 0.0000 0.0000
Si 0.5000 0.5000 0.5000
Br 0.0000 0.5000 0.0000

=====

Entry 7:
Below is crystalline B3RhF at its relaxed geometry, with properties calculated at the PBE level.

Computed properties:
Size of the total moment: 0.000 μB per formula unit
ΔE_f (raw): 1.566 eV/atom
SG: Pm-3m (221)
Energy relative to the lowest polymorph listed for this composition: 4.71 eV/f.u.
Calculated volume: 9.374 A^3/atom
DOS(E_F): 0.429 states/eV/atom

Cell lengths 3.6055, 3.6055, 3.6055 Å; angles 90.00, 90.00, 90.00 degrees
Fractional coordinates of all 5 atoms:
B 0.0000 0.5000 0.0000
B 0.0000 0.0000 0.5000
B 0.5000 0.0000 0.0000
Rh 0.5000 0.5000 0.5000
F 0.0000 0.0000 0.0000

=====

Entry 8:
Below is crystalline LiBe3 at its relaxed geometry, with properties calculated at the PBE level.

Computed properties:
Size of the total moment: 0.000 μB per formula unit
SG: P4/mmm (123)
Energy relative to the lowest polymorph listed for this composition: 0.57 eV/f.u.
Calculated formation energy: 0.171 eV per atom
Calculated volume: 8.916 A^3/atom
DOS(E_F): 0.097 states/eV/atom

Cell lengths 3.7375, 3.7375, 2.5532 Å; angles 90.00, 90.00, 90.00 degrees
Fractional coordinates of all 4 atoms:
Be 0.0000 0.0000 0.0000
Be 0.5000 0.0000 0.5000
Be 0.5000 0.5000 0.0000
Li 0.0000 0.5000 0.5000

=====

Entry 9:
Below is crystalline Na2PdSe at its relaxed geometry, with properties calculated at the PBE level.

Computed properties:
Size of the total moment: 0.000 μB per formula unit
ΔE_f (raw): -0.229 eV/atom
SG: I-42d (122)
Calculated volume: 21.404 A^3/atom
DOS(E_F): 0.223 states/eV/atom

Cell lengths 4.2004, 4.2004, 10.1494 Å; angles 78.06, 78.06, 90.00 degrees
Fractional coordinates of all 8 atoms:
Na 0.6210 0.1250 0.2500
Na 0.1290 0.6250 0.2500
Na 0.3750 0.3790 0.7500
Na 0.8750 0.8710 0.7500
Se 0.5000 0.5000 0.0000
Se 0.2500 0.7500 0.5000
Pd 0.0000 0.0000 0.0000
Pd 0.7500 0.2500 0.5000

=====

Entry 10:
Below is crystalline Nb2AlHIr at its relaxed geometry, with properties calculated at the PBE level.

Computed properties:
Size of the total moment: 0.000 μB per formula unit
SG: P4/mmm (123)
Energy relative to the lowest polymorph listed for this composition: 0.16 eV/f.u.
Calculated volume: 13.567 A^3/atom
DOS(E_F): 0.684 states/eV/atom

Cell lengths 3.9513, 3.9513, 4.3450 Å; angles 90.00, 90.00, 90.00 degrees
Fractional coordinates of all 5 atoms:
H 0.0000 0.0000 0.0000
Nb 0.0000 0.5000 0.0000
Nb 0.5000 0.0000 0.0000
Ir 0.5000 0.5000 0.5000
Al 0.0000 0.0000 0.5000

=====

Entry 11:
Below is crystalline ZrPtRh at its relaxed geometry, with properties calculated at the PBE level.

Computed properties:
Size of the total moment: 0.000 μB per formula unit
SG: P3m1 (156)
Energy relative to the lowest polymorph listed for this composition: 0.81 eV/f.u.
Calculated formation energy: -0.611 eV per atom
Calculated volume: 17.120 A^3/atom
DOS(E_F): 0.683 states/eV/atom

Cell lengths 4.5116, 4.5116, 2.9136 Å; angles 90.00, 90.00, 120.00 degrees
Fractional coordinates of all 3 atoms:
Pt 0.0000 0.0000 0.9747
Rh 0.3333 0.6667 0.4001
Zr 0.6667 0.3333 0.6252

=====

Entry 12:
Below is crystalline GdZrOsPt at its relaxed geometry, with properties calculated at the PBE level.

Computed properties:
Size of the total moment: 7.097 μB per formula unit
SG: F-43m (216)
Calculated formation energy: -0.580 eV per atom
Calculated volume: 19.587 A^3/atom
DOS(E_F): 0.526 states/eV/atom

Cell lengths 4.8030, 4.8030, 4.8030 Å; angles 60.00, 60.00, 60.00 degrees
Fractional coordinates of all 4 atoms:
Gd 0.5000 0.5000 0.5000
Os 0.7500 0.7500 0.7500
Zr 0.0000 0.0000 0.0000
Pt 0.2500 0.2500 0.2500